(1)
VASP calculation (PBE) on crystalline Cs3B2S4 at its relaxed geometry.

Geometry as POSCAR:
```
Cs3B2S4
1.0
6.856 -1.780 0.000
6.856 1.780 0.000
-2.635 0.000 11.277
Cs B S
3 2 4
Direct
0.000 0.000 0.000
0.357 0.357 0.371
0.643 0.643 0.629
0.379 0.379 0.722
0.621 0.621 0.278
0.082 0.082 0.340
0.307 0.307 0.830
0.693 0.693 0.170
0.918 0.918 0.660
```

- Offset from the most stable computed form: 0.236 eV/atom
- DOS at the Fermi energy: 1.63 states/eV per cell
- Total moment: 0.00 μB per formula unit

(2)
VASP calculation (PBE) on crystalline TmTlGaO4 at its relaxed geometry.

Geometry as POSCAR:
```
TmTlGaO4
1.0
-3.127 3.413 4.674
3.127 -3.413 4.674
3.127 3.413 -4.674
Tm Tl Ga O
2 2 2 8
Direct
0.000 0.000 0.000
0.500 0.000 0.500
0.500 0.000 0.000
0.500 0.500 0.500
0.115 0.365 0.750
0.885 0.635 0.250
0.213 0.242 0.971
0.230 0.758 0.471
0.234 0.228 0.494
0.234 0.740 0.006
0.766 0.260 0.994
0.766 0.772 0.506
0.770 0.242 0.529
0.787 0.758 0.029
```

- DOS at the Fermi energy: 4.56 states/eV per cell
- Total moment: 0.00 μB per formula unit
- Total energy: -86.5 eV per cell

(3)
VASP calculation (PBE) on crystalline Os3OF at its relaxed geometry.

Geometry as POSCAR:
```
Os3OF
1.0
4.085 0.000 0.000
0.000 4.085 0.000
0.000 0.000 4.085
Os O F
3 1 1
Direct
0.000 0.000 0.500
0.000 0.500 0.000
0.500 0.000 0.000
0.000 0.000 0.000
0.500 0.500 0.500
```

- Offset from the most stable computed form: 0.000 eV/atom
- DOS at the Fermi energy: 5.15 states/eV per cell
- Total moment: 2.41 μB per formula unit